VASP calculation (GGA+U) on crystalline LiFe2F5 at its relaxed geometry.

Structure (POSCAR):
```
LiFe2F5
1.0
-3.2053 4.1768 -1.0367
-0.9373 1.3008 -5.8159
-3.6462 -6.7441 -2.0390
F Fe Li
10 4 2
Cartesian
-4.7961 -2.5778 -6.1804
-2.5551 -2.0332 -2.7979
-4.9323 -0.8183 -3.4493
-2.8084 -0.4811 -5.2248
-0.3365 0.0265 -1.2946
-4.6210 -3.9660 -3.4873
-3.2271 2.7394 -5.2318
-3.2596 1.1311 -2.4898
-7.4502 -1.3449 -7.5747
-5.2367 0.7030 -6.0725
-4.0126 3.8738 -6.9041
-4.0893 0.9730 -4.3770
-4.7417 -3.8752 -7.7755
-3.7142 -2.3082 -4.4882
-6.7240 -2.2867 -6.1412
-3.5619 -0.7255 -1.9398
```

Computed properties:
E above lowest polymorph, meV/atom: 0

VASP calculation (GGA+U) on crystalline LiFeF6 at its relaxed geometry.

Structure (POSCAR):
```
LiFeF6
1.0
4.6989 0.6765 -0.9311
-1.6641 4.0501 -2.3213
0.3724 -0.1001 4.9409
F Fe Li
6 1 1
Cartesian
0.6260 1.9205 -0.5378
3.0661 1.5202 0.0090
2.7812 2.7060 2.2263
2.1985 3.8934 0.1486
1.2087 0.7332 1.5399
0.3411 3.1063 1.6795
1.7036 2.3133 0.8442
0.0000 0.0000 0.0000
```

VASP calculation (GGA+U) on crystalline LiFeF6 at its relaxed geometry.

Structure (POSCAR):
```
LiFeF6
1.0
-2.3009 -2.6726 3.2348
3.5036 0.8066 3.1584
-4.1680 7.0158 2.8318
Fe F Li
2 12 2
Cartesian
-2.7612 4.6478 1.8760
-0.0758 0.2068 3.6567
-1.6110 -0.7181 3.6756
0.7546 -1.1610 4.4612
0.2428 3.7803 4.6398
-0.9395 5.8937 5.4791
1.4634 1.1247 3.6351
0.2980 -0.4526 2.0340
-2.4406 4.1501 3.5677
-0.9271 1.6111 2.9335
-1.8749 3.2724 6.5747
-4.6484 3.6705 5.5279
-3.3581 1.6219 4.6872
-0.4929 0.9374 5.2416
-1.5455 2.6807 4.6553
-0.0628 0.1058 0.0427
```

VASP calculation (GGA+U) on crystalline LiFeF5 at its relaxed geometry.

Structure (POSCAR):
```
LiFeF5
1.0
3.9773 0.0000 0.0000
0.0000 9.6476 0.0000
0.0000 0.0000 9.7201
F Li Fe
20 4 4
Cartesian
2.9372 3.5011 3.7133
2.9372 1.3227 8.5733
0.9532 4.7759 2.4300
1.0414 1.2396 3.7138
3.0241 4.8716 7.2900
1.0414 3.5842 6.0062
1.0414 3.5842 8.5738
2.9359 6.0634 3.7138
2.9372 1.3227 6.0068
2.9359 8.4080 8.5738
1.0401 8.3249 3.7133
2.9372 3.5011 1.1468
1.0401 8.3249 1.1468
1.0414 1.2396 1.1462
3.0241 9.5997 2.4300
1.0401 6.1464 8.5733
2.9359 6.0634 1.1462
2.9359 8.4080 6.0062
0.9532 0.0478 7.2900
1.0401 6.1464 6.0068
0.0477 2.4119 0.0000
3.9296 7.2357 4.8600
3.9296 7.2357 0.0000
0.0477 2.4119 4.8600
2.9529 4.7837 2.4300
2.9529 0.0401 7.2900
1.0243 9.6075 2.4300
1.0243 4.8639 7.2900
```

Computed properties:
E above lowest polymorph, meV/atom: 5

VASP calculation (GGA+U) on crystalline LiFeF5 at its relaxed geometry.

Structure (POSCAR):
```
LiFeF5
1.0
3.6852 0.0001 1.3503
1.5519 4.7731 1.4679
0.1751 0.0623 5.2259
F Fe Li
5 1 1
Cartesian
0.5806 1.4499 4.1190
3.2093 1.1753 2.6490
1.8426 0.0001 0.6751
1.1463 3.3855 2.5748
2.2028 3.6603 5.3951
0.0000 0.0000 0.0000
2.7060 2.4178 4.0220
```

Computed properties:
E above lowest polymorph, meV/atom: 16

VASP calculation (GGA+U) on crystalline LiFeF5 at its relaxed geometry.

Structure (POSCAR):
```
LiFeF5
1.0
-4.7483 0.5679 2.2396
3.4727 -0.3958 7.4629
1.1324 9.5497 -0.0205
F Li Fe
20 4 4
Cartesian
-2.4089 8.4107 5.0484
3.7527 5.9809 6.6023
2.9992 3.4904 5.6318
-1.6458 3.4718 2.0184
-1.4417 1.1855 3.0262
-0.1587 8.1416 3.9871
-0.1220 1.2120 8.7721
-0.9496 6.1457 5.7665
2.2657 1.3110 4.6337
-0.0213 8.5098 0.9099
3.5521 8.2668 5.5929
0.7456 3.7599 6.6948
-3.6953 1.4550 4.0891
1.2985 8.5363 6.6559
-3.8959 3.7408 3.0797
1.5026 6.2500 7.6636
-0.8889 5.9618 2.9873
-3.1425 6.2314 4.0502
0.8064 3.5761 3.9156
0.0155 1.5801 5.6950
-0.3012 5.3675 7.3384
0.1580 4.3542 2.3436
0.7919 9.1213 2.4789
-0.9351 0.6004 7.2031
-1.5470 7.0302 4.2757
2.6630 7.3874 6.8855
-2.8062 2.3344 2.7965
1.4038 2.6915 5.4064
```

Computed properties:
E above lowest polymorph, meV/atom: 40

VASP calculation (GGA+U) on crystalline Li2Fe2F at its relaxed geometry.

Structure (POSCAR):
```
Li2Fe2F
1.0
3.3255 0.0000 0.0000
0.0000 3.3255 0.0000
1.6627 1.6627 7.6974
Fe Li F
2 2 1
Cartesian
3.3255 1.6627 3.8487
1.6627 3.3255 3.8487
3.3255 3.3255 6.3810
1.6627 1.6627 1.3164
0.0000 0.0000 0.0000
```

Computed properties:
E above lowest polymorph, meV/atom: 169

VASP calculation (GGA+U) on crystalline LiMgFe2F at its relaxed geometry.

Structure (POSCAR):
```
LiMgFe2F
1.0
-4.7824 0.5265 -0.2811
-0.3776 -3.5506 -0.2264
-0.3123 -0.2730 4.8016
Mg Fe F Li
1 2 1 1
Cartesian
-2.7362 -1.6485 2.1471
-2.3912 0.2633 -0.1406
-0.1562 -0.1365 2.4008
0.0000 0.0000 0.0000
-0.1888 -1.7753 -0.1132
```

VASP calculation (GGA+U) on crystalline LiFeNF2 at its relaxed geometry.

Structure (POSCAR):
```
LiFeNF2
1.0
4.0576 0.0000 0.0000
0.0000 4.0576 0.0000
0.0000 0.0000 3.7665
Li Fe N F
1 1 1 2
Cartesian
2.0288 2.0288 1.8833
0.0000 0.0000 0.0000
0.0000 0.0000 1.8833
2.0288 0.0000 0.0000
0.0000 2.0288 0.0000
```

Computed properties:
E above lowest polymorph, meV/atom: 0

VASP calculation (GGA+U) on crystalline LiFeNF2 at its relaxed geometry.

Structure (POSCAR):
```
LiFeNF2
1.0
3.5150 0.0000 0.0000
0.0000 3.5150 0.0000
0.0000 0.0000 4.1361
F N Li Fe
2 1 1 1
Cartesian
0.0000 1.7575 0.0000
1.7575 0.0000 0.0000
0.0000 0.0000 2.0680
0.0000 0.0000 0.0000
1.7575 1.7575 2.0680
```

Computed properties:
E above lowest polymorph, meV/atom: 366

VASP calculation (GGA+U) on crystalline NaLiFeF6 at its relaxed geometry.

Structure (POSCAR):
```
NaLiFeF6
1.0
4.9424 0.0000 0.0000
0.0000 5.1128 0.0000
0.0000 -2.5564 4.4278
F Li Na Fe
6 1 1 1
Cartesian
3.5052 4.0659 1.4144
3.5052 1.8550 2.8140
1.4371 3.2578 2.8140
3.5052 1.7483 0.1995
1.4371 3.3645 0.1995
1.4371 1.0469 1.4144
2.4712 0.0000 0.0000
0.0000 0.0000 2.9519
2.4712 2.5564 1.4759
```

VASP calculation (GGA+U) on crystalline Li2FeNiF6 at its relaxed geometry.

Structure (POSCAR):
```
Li2FeNiF6
1.0
-1.4071 4.8679 0.9809
-3.5398 -3.5046 -1.4341
1.4573 -3.2681 4.3247
F Li Ni Fe
6 2 1 1
Cartesian
-2.8786 -3.0335 2.1860
-1.2705 -1.4368 0.3380
0.1500 -2.4434 2.8140
-0.7390 1.4308 1.1848
-3.4029 0.8132 0.5453
-2.2302 -0.4638 2.9256
-0.6292 -0.9943 3.8882
-3.0883 -1.0604 0.9744
-3.5007 -1.8383 3.7377
-2.4672 1.5399 2.3340
```

The following E values (in eV for the cell shown) correspond, in order, to the records above: -86.03 -34.10 -68.43 -130.03 -32.43 -129.06 -17.87 -17.94 -24.84 -23.01 -40.25 -48.86.